Record 1
Below is a relaxed PmPaTe2N crystal, with properties calculated at the PBE level.

Cell and atoms, written as POSCAR:
```
PmPaTe2N
1.0
-3.975 -0.992 -0.226
0.797 -3.604 1.792
-2.530 6.776 14.754
Te Pm Pa N
4 2 2 2
Cartesian
-1.308 2.770 10.851
-4.318 5.745 13.475
0.199 -1.267 2.061
-2.810 1.708 4.686
-1.780 4.034 13.604
-2.338 0.444 1.933
-3.422 3.346 8.253
-0.697 1.132 7.284
-1.265 3.388 7.377
-2.854 1.090 8.160
```

## Properties
formation energy (no corrections) = -1.43 eV per atom
space-group type = P4/nmm
electronic total energy = -7.201 eV/atom
magnetization = 0.147 μB/atom
D(E_F) = 8.345 states/eV per cell



Record 2
Below is a relaxed La2Bi2Pd7Au crystal, with properties calculated at the PBE level.

Cell and atoms, written as POSCAR:
```
La2Bi2Pd7Au
1.0
3.935 0.016 -0.081
0.021 3.935 -0.081
1.771 1.769 16.737
Pd Bi La Au
7 2 2 1
Cartesian
1.978 1.975 -0.081
1.740 3.695 14.599
2.033 2.031 7.439
2.029 3.984 1.975
3.694 3.689 9.136
3.697 1.736 14.599
3.986 2.025 1.975
1.671 1.669 10.202
4.056 4.051 6.372
2.057 2.054 4.111
3.670 3.665 12.463
0.000 0.000 0.000
```

## Properties
space-group type = C2/m
energy relative to the elements = -37.7 kJ per mole of atoms
electronic total energy = -5.161 eV/atom
magnetization = 0.000 μB/atom
D(E_F) = 4.835 states/eV per cell



Record 3
Below is a relaxed Gd2PbC crystal, with properties calculated at the PBE level.

Cell and atoms, written as POSCAR:
```
Gd2PbC
1.0
3.675 0.000 0.000
1.837 3.182 0.000
1.837 1.061 8.185
C Gd Pb
1 2 1
Cartesian
0.000 0.000 0.000
1.837 1.061 1.365
5.512 3.182 6.819
3.675 2.121 4.092
```

## Properties
space-group type = R-3m
energy relative to the elements = -42.3 kJ per mole of atoms
electronic total energy = -10.712 eV/atom
magnetization = 3.545 μB/atom
D(E_F) = 1.771 states/eV per cell



Which value of electronic total energy does entry 3 give?
-10.712 eV/atom



The lowest D(E_F) belongs to which entry?
Gd2PbC